<one>
DFT (PBE-GGA) results for a relaxed HfBiP2Cl crystal.

a b c (Å): 5.116 5.116 4.778
angles (deg): 90.00 90.00 90.00
Atoms (fractional coordinates):
Hf 0.000 0.000 0.000
Bi 0.500 0.500 0.500
P 0.000 0.500 0.000
P 0.500 0.000 0.000
Cl 0.000 0.000 0.500

Size of the total moment ... 0.0000 μB/atom

---

<two>
DFT (PBE-GGA) results for a relaxed HfBiP2Cl crystal.

a b c (Å): 5.225 5.225 5.004
angles (deg): 90.00 90.00 90.00
Atoms (fractional coordinates):
Hf 0.000 0.000 0.000
Bi 0.500 0.500 0.500
P 0.000 0.500 0.500
P 0.500 0.000 0.500
Cl 0.500 0.500 0.000

Size of the total moment ... 0.1192 μB/atom

---

<one> comes first in stability; the runner-up is 1150 meV/atom higher.

---

<one>
DFT (PBE-GGA) results for a relaxed HfBiPCl2 crystal.

a b c (Å): 4.871 4.871 5.337
angles (deg): 90.00 90.00 90.00
Atoms (fractional coordinates):
Hf 0.000 0.000 0.000
Bi 0.500 0.500 0.500
P 0.000 0.000 0.500
Cl 0.000 0.500 0.000
Cl 0.500 0.000 0.000

Size of the total moment ... 0.2361 μB/atom

---

<two>
DFT (PBE-GGA) results for a relaxed HfBiPCl2 crystal.

a b c (Å): 5.185 5.185 5.668
angles (deg): 90.00 90.00 90.00
Atoms (fractional coordinates):
Hf 0.000 0.000 0.000
Bi 0.500 0.500 0.500
P 0.500 0.500 0.000
Cl 0.000 0.500 0.500
Cl 0.500 0.000 0.500

Size of the total moment ... 0.2923 μB/atom

---

<one> comes first in stability; the runner-up is 1108 meV/atom higher.

---

<one>
DFT (PBE-GGA) results for a relaxed HfBiS2Cl crystal.

a b c (Å): 5.325 5.325 5.134
angles (deg): 90.00 90.00 90.00
Atoms (fractional coordinates):
Hf 0.000 0.000 0.000
Bi 0.500 0.500 0.500
S 0.000 0.500 0.500
S 0.500 0.000 0.500
Cl 0.500 0.500 0.000

Size of the total moment ... 0.3705 μB/atom

---

<two>
DFT (PBE-GGA) results for a relaxed HfBiS2Cl crystal.

a b c (Å): 4.987 4.987 4.908
angles (deg): 90.00 90.00 90.00
Atoms (fractional coordinates):
Hf 0.000 0.000 0.000
Bi 0.500 0.500 0.500
S 0.000 0.500 0.000
S 0.500 0.000 0.000
Cl 0.000 0.000 0.500

Size of the total moment ... 0.0000 μB/atom

---

<two> comes first in stability; the runner-up is 1208 meV/atom higher.

---

<one>
DFT (PBE-GGA) results for a relaxed HgBiCl3 crystal.

a b c (Å): 8.365 8.365 8.365
angles (deg): 53.57 53.57 53.57
Atoms (fractional coordinates):
Hg 0.085 0.085 0.085
Hg 0.915 0.915 0.915
Bi 0.338 0.338 0.338
Bi 0.662 0.662 0.662
Cl 0.085 0.578 0.578
Cl 0.422 0.422 0.915
Cl 0.422 0.915 0.422
Cl 0.578 0.085 0.578
Cl 0.578 0.578 0.085
Cl 0.915 0.422 0.422

Size of the total moment ... 0.0000 μB/atom

---

<two>
DFT (PBE-GGA) results for a relaxed HgBiCl3 crystal.

a b c (Å): 5.020 5.020 18.585
angles (deg): 90.00 90.00 120.00
Atoms (fractional coordinates):
Hg 0.000 0.000 0.000
Hg 0.000 0.000 0.500
Bi 0.333 0.667 0.250
Bi 0.667 0.333 0.750
Cl 0.000 0.000 0.250
Cl 0.000 0.000 0.750
Cl 0.333 0.667 0.112
Cl 0.333 0.667 0.388
Cl 0.667 0.333 0.612
Cl 0.667 0.333 0.888

Size of the total moment ... 0.0000 μB/atom

---

<three>
DFT (PBE-GGA) results for a relaxed HgBiCl3 crystal.

a b c (Å): 10.606 7.700 10.166
angles (deg): 90.00 118.62 90.00
Atoms (fractional coordinates):
Hg 0.067 0.061 0.431
Hg 0.067 0.439 0.931
Hg 0.933 0.561 0.069
Hg 0.933 0.939 0.569
Bi 0.499 0.204 0.462
Bi 0.499 0.296 0.962
Bi 0.501 0.704 0.038
Bi 0.501 0.796 0.538
Cl 0.186 0.236 0.319
Cl 0.186 0.264 0.819
Cl 0.224 0.735 0.895
Cl 0.224 0.765 0.395
Cl 0.494 0.102 0.210
Cl 0.494 0.398 0.710
Cl 0.506 0.602 0.290
Cl 0.506 0.898 0.790
Cl 0.776 0.235 0.605
Cl 0.776 0.265 0.105
Cl 0.814 0.736 0.181
Cl 0.814 0.764 0.681

Size of the total moment ... 0.0000 μB/atom

---

<one> comes first in stability; the runner-up is 18 meV/atom higher.